A geometry-optimized LiDyHo structure. Source: the Alexandria database, functional PBE-GGA.

Summary:
Formation energy, meV per atom: 53
Space-group type: P4/nmm
Distance to the lowest polymorph of the same formula, kJ/mol of atoms: 0.0

Lattice parameters (Å, degrees): 3.581 3.581 12.781 90.00 90.00 90.00
Sites, in units of the cell vectors:
Li1 0.250 0.250 0.051
Li2 0.750 0.750 0.949
Dy1 0.250 0.250 0.783
Dy2 0.750 0.750 0.217
Ho1 0.250 0.250 0.403
Ho2 0.750 0.750 0.597